This record from Alexandria describes AcEuTl after structural relaxation. The functional is GGA-PBE.

Properties
- DOS(E_F): 3.0 states/eV/f.u.
- Total moment: 7.939 μB per formula unit
- Energy above the most stable polymorph in this dataset: 0.00 eV/f.u.
- Energy relative to the elements: -0.718 eV/f.u.

Geometry as POSCAR:
```
AcEuTl
1.0
-3.6591 1.6373 0.3073
-1.4275 -2.6991 -2.6155
1.0741 -3.7278 6.3507
Tl Eu Ac
1 1 1
Direct
0.6105 0.6105 0.2210
0.9723 0.9723 0.9446
0.2672 0.2672 0.5344
```